[1]
Computed, not measured: crystalline Zr2SiH at its relaxed geometry at the PBE-GGA level of DFT.

a b c (Å): 6.375 6.375 6.230
angles (deg): 90.00 90.00 90.00
Space group I-42d (No. 122)
Symmetry-distinct sites (fractional):
Zr1 0.178 0.750 0.125
Si1 0.000 0.000 0.500
H1 0.000 0.000 0.000

Excess energy over the best structure of this formula in the dataset   0 meV/atom
Total magnetization   0.0 μB/f.u.
Energy   -6.960 eV/atom
Calculated volume   15.8 Å³ per atom



[2]
Computed, not measured: crystalline Zr2SiH at its relaxed geometry at the PBE-GGA level of DFT.

a b c (Å): 3.7031 3.7031 20.4513
angles (deg): 90.00 90.00 120.00
Space group R-3m (No. 166, hexagonal axes)
Symmetry-distinct sites (fractional):
Zr1 0.0000 0.0000 0.0920
Si1 0.0000 0.0000 0.5000
H1 0.0000 0.0000 0.0000

Excess energy over the best structure of this formula in the dataset   375 meV/atom
Total magnetization   0.5 μB/f.u.
Energy   -6.585 eV/atom
Calculated volume   20.2 Å³ per atom



[3]
Computed, not measured: crystalline ZrSi2H2 at its relaxed geometry at the PBE-GGA level of DFT.

a b c (Å): 3.609 3.609 8.470
angles (deg): 90.00 90.00 90.00
Space group I4/mmm (No. 139)
Symmetry-distinct sites (fractional):
Zr1 0.000 0.000 0.000
Si1 0.000 0.000 0.347
H1 0.000 0.500 0.250

Excess energy over the best structure of this formula in the dataset   0 meV/atom
Total magnetization   0.0 μB/f.u.
Energy   -4.971 eV/atom
Calculated volume   11.0 Å³ per atom



[4]
Computed, not measured: crystalline ZrSiH2 at its relaxed geometry at the PBE-GGA level of DFT.

a b c (Å): 3.834 3.834 12.220
angles (deg): 90.00 90.00 90.00
Space group I-42d (No. 122)
Symmetry-distinct sites (fractional):
Zr1 0.000 0.000 0.000
Si1 0.000 0.000 0.500
H1 0.234 0.250 0.125

Excess energy over the best structure of this formula in the dataset   0 meV/atom
Total magnetization   0.0 μB/f.u.
Energy   -5.317 eV/atom
Calculated volume   11.2 Å³ per atom



[5]
Computed, not measured: crystalline ZrSi2H2 at its relaxed geometry at the PBE-GGA level of DFT.

a b c (Å): 6.923 6.923 2.940
angles (deg): 90.00 90.00 90.00
Space group P4/mbm (No. 127)
Symmetry-distinct sites (fractional):
Zr1 0.000 0.000 0.000
Si1 0.125 0.375 0.000
H1 0.231 0.269 0.500

Excess energy over the best structure of this formula in the dataset   312 meV/atom
Total magnetization   0.0 μB/f.u.
Energy   -4.658 eV/atom
Calculated volume   14.1 Å³ per atom



[6]
Computed, not measured: crystalline Zr2SiH at its relaxed geometry at the PBE-GGA level of DFT.

a b c (Å): 6.377 6.377 6.377
angles (deg): 90.00 90.00 90.00
Space group Fm-3m (No. 225)
Symmetry-distinct sites (fractional):
Zr1 0.250 0.250 0.250
Si1 0.000 0.000 0.000
H1 0.000 0.000 0.500

Excess energy over the best structure of this formula in the dataset   287 meV/atom
Total magnetization   0.0 μB/f.u.
Energy   -6.672 eV/atom
Calculated volume   16.2 Å³ per atom